No. 1
Density functional theory data (PBE) for an optimized crystal structure of TbTm2Pd2.

## Properties
- Energy above the lowest structure with this stoichiometry: 0 meV/atom
- Calculated volume: 23.50 A^3/atom
- Calculated total energy: -5.540 eV/atom

Cell: 7.7549 7.7549 3.9073 Å, 90.00 90.00 90.00°
Closest atoms and distances in Å follow each position.
Space group P4/mbm (No. 127)
Asymmetric unit:
Tb1 0.0000 0.0000 0.0000 (multiplicity 2)  4 Pd 3.02
Tm1 0.1629 0.3371 0.5000 (multiplicity 4)  6 Pd 2.97-3.02
Pd1 0.1335 0.6335 0.0000 (multiplicity 4)  1 Pd 2.93, 6 Tm 2.97-3.02, 2 Tb 3.02


No. 2
Density functional theory data (PBE) for an optimized crystal structure of Tb5DyHo.

## Properties
- Energy above the lowest structure with this stoichiometry: 775 meV/atom
- Calculated volume: 40.55 A^3/atom
- Calculated total energy: -3.656 eV/atom

Cell: 7.9592 11.6481 6.1227 Å, 90.00 90.00 90.00°
Closest atoms and distances in Å follow each position.
Space group Imm2 (No. 44)
Asymmetric unit:
Tb1 0.0000 0.0000 0.0000 (multiplicity 2)  2 Ho 2.90-3.22, 2 Tb 3.02
Tb2 0.0000 0.2454 0.2643 (multiplicity 4)  1 Dy 2.97, 1 Ho 3.28, 1 Tb 3.28
Tb3 0.1785 0.5000 0.7634 (multiplicity 4)  2 Tb 2.84-3.02, 1 Ho 3.02
Dy1 0.0000 0.5000 0.2628 (multiplicity 2)  2 Tb 2.97
Ho1 0.0000 0.0000 0.5258 (multiplicity 2)  4 Tb 2.90-3.22


No. 3
Density functional theory data (PBE) for an optimized crystal structure of AlReI2N.

## Properties
- Energy above the lowest structure with this stoichiometry: 694 meV/atom
- Formation energy (no corrections): 5.79 eV per formula unit
- Calculated volume: 23.18 A^3/atom
- Calculated total energy: -4.365 eV/atom

Cell: 5.7650 5.7650 3.4877 Å, 90.00 90.00 90.00°
Closest atoms and distances in Å follow each position.
Space group P4/mmm (No. 123)
Asymmetric unit:
Al1 0.0000 0.0000 0.0000 (multiplicity 1)  2 N 1.74
Re1 0.5000 0.5000 0.5000 (multiplicity 1)  8 I 3.37, 2 Re 3.49
I1 0.0000 0.5000 0.0000 (multiplicity 2)  2 Al 2.88
N1 0.0000 0.0000 0.5000 (multiplicity 1)  2 Al 1.74


No. 4
Density functional theory data (PBE) for an optimized crystal structure of TlIrPb2.

## Properties
- Energy above the lowest structure with this stoichiometry: 76 meV/atom
- Calculated volume: 26.91 A^3/atom
- Calculated total energy: -4.397 eV/atom

Cell: 3.3564 4.6290 13.8578 Å, 90.00 90.00 90.00°
Closest atoms and distances in Å follow each position.
Space group Imm2 (No. 44)
Asymmetric unit:
Tl1 0.0000 0.0000 0.0000 (multiplicity 2)  2 Ir 3.20, 6 Pb 3.30-3.44, 2 Tl 3.36
Ir1 0.0000 0.5000 0.3031 (multiplicity 2)  6 Pb 2.83-2.88
Pb1 0.0000 0.0000 0.6383 (multiplicity 2)  2 Ir 2.83
Pb2 0.0000 0.5000 0.8300 (multiplicity 2)  4 Ir 2.88


No. 5
Density functional theory data (PBE) for an optimized crystal structure of Tb4ZnS2.

## Properties
- Formation energy (no corrections): -8.74 eV per formula unit
- Calculated volume: 24.54 A^3/atom
- Calculated total energy: -5.255 eV/atom

Cell: 3.9519 12.8156 13.5651 Å, 90.00 90.00 90.00°
Closest atoms and distances in Å follow each position.
Space group Cmcm (No. 63)
Asymmetric unit:
Tb1 0.0000 0.0000 0.0000 (multiplicity 4)  4 S 2.76
Tb2 0.0000 0.2709 0.1195 (multiplicity 8)  3 S 2.72-2.75, 2 Zn 3.04
Tb3 0.0000 0.4412 0.7500 (multiplicity 4)  2 S 2.75, 2 Zn 2.96
Zn1 0.0000 0.1132 0.7500 (multiplicity 4)  6 Tb 2.96-3.04
S1 0.0000 0.3644 0.5604 (multiplicity 8)  6 Tb 2.72-2.76


No. 6
Density functional theory data (PBE) for an optimized crystal structure of Ce2Pu2Sb2C.

## Properties
- Formation energy (no corrections): -4.37 eV per formula unit
- Calculated volume: 26.65 A^3/atom
- Calculated total energy: -8.910 eV/atom

Cell: 4.7571 4.7571 16.4903 Å, 90.00 90.00 90.00°
Closest atoms and distances in Å follow each position.
Space group I4/mmm (No. 139)
Asymmetric unit:
Ce1 0.0000 0.0000 0.1602 (multiplicity 4)  1 C 2.64
Pu1 0.0000 0.5000 0.0000 (multiplicity 4)  2 C 2.38
Sb1 0.0000 0.0000 0.3592 (multiplicity 4)  5 Ce 3.28-3.38, 4 Pu 3.32
C1 0.0000 0.0000 0.0000 (multiplicity 2)  4 Pu 2.38, 2 Ce 2.64